NaTbTe3Pt, optimized geometry, DFT PBE; space-group type = No. 63
1.0
2.082 -8.019 0.000
2.082 8.019 0.000
0.000 0.000 10.512
Na Tb Te Pt
2 2 6 2
direct
0.238 0.762 0.750 Na
0.762 0.238 0.250 Na
0.000 0.000 0.000 Tb
0.000 0.000 0.500 Tb
0.098 0.902 0.250 Te
0.367 0.633 0.079 Te
0.367 0.633 0.421 Te
0.633 0.367 0.579 Te
0.633 0.367 0.921 Te
0.902 0.098 0.750 Te
0.490 0.510 0.250 Pt
0.510 0.490 0.750 Pt

---

NaTe3Pt2, optimized geometry, DFT PBE; space-group type = No. 164
1.0
8.070 0.000 0.000
-4.035 6.989 0.000
0.000 0.000 5.927
Na Te Pt
2 6 4
direct
0.333 0.667 0.323 Na
0.667 0.333 0.677 Na
0.172 0.343 0.780 Te
0.172 0.828 0.780 Te
0.343 0.172 0.220 Te
0.657 0.828 0.780 Te
0.828 0.172 0.220 Te
0.828 0.657 0.220 Te
0.000 0.000 0.000 Pt
0.000 0.500 0.000 Pt
0.500 0.000 0.000 Pt
0.500 0.500 0.000 Pt

---

NaTePt, optimized geometry, DFT PBE; space-group type = No. 216
1.0
0.000 3.233 3.233
3.233 0.000 3.233
3.233 3.233 0.000
Na Te Pt
1 1 1
direct
0.000 0.000 0.000 Na
0.250 0.250 0.250 Te
0.750 0.750 0.750 Pt

---

NaTePt, optimized geometry, DFT PBE; space-group type = No. 216
1.0
0.000 3.241 3.241
3.241 0.000 3.241
3.241 3.241 0.000
Na Te Pt
1 1 1
direct
0.000 0.000 0.000 Na
0.500 0.500 0.500 Te
0.250 0.250 0.250 Pt

---

NaTe5Pt3, optimized geometry, DFT PBE; space-group type = No. 191
1.0
6.659 0.000 0.000
-3.330 5.767 0.000
0.000 0.000 7.377
Na Te Pt
1 5 3
direct
0.000 0.000 0.000 Na
0.000 0.000 0.500 Te
0.333 0.667 0.253 Te
0.333 0.667 0.747 Te
0.667 0.333 0.253 Te
0.667 0.333 0.747 Te
0.000 0.500 0.500 Pt
0.500 0.000 0.500 Pt
0.500 0.500 0.500 Pt

---

NaTmTe3Pt, optimized geometry, DFT PBE; space-group type = No. 63
1.0
2.078 -8.169 0.000
2.078 8.169 0.000
0.000 0.000 10.296
Na Tm Te Pt
2 2 6 2
direct
0.240 0.760 0.750 Na
0.760 0.240 0.250 Na
0.000 0.000 0.000 Tm
0.000 0.000 0.500 Tm
0.100 0.900 0.250 Te
0.372 0.628 0.080 Te
0.372 0.628 0.420 Te
0.628 0.372 0.580 Te
0.628 0.372 0.920 Te
0.900 0.100 0.750 Te
0.494 0.506 0.250 Pt
0.506 0.494 0.750 Pt

---

For the records above, the corresponding VASP energy values read -4.449 -4.344 -3.302 -3.897 -4.079 -4.404 eV per atom.